(1)
Here is Ta2P after structural relaxation from the Alexandria database. Energies are from PBE.

As for the final energy: -61.6 eV/cell. Its total moment is 0.00 μB/f.u. The density of states at the Fermi level comes out at 0.68 states/eV/atom. As for the symmetry: Pmn2_1. For the theoretical density, the calculation gives 12.91 Mg/m³. The calculation puts the formation energy at -0.563 eV/atom.

Lattice parameters (Å, degrees): 3.2901 6.1817 4.9688 90.00 90.00 90.00
Closest atoms and distances in Å follow each position.
Sites, in units of the cell vectors:
Ta 0.0000 0.3994 0.1393  4 P 2.49-2.66
Ta 0.5000 0.6006 0.6393  4 P 2.49-2.66
Ta 0.0000 0.9417 0.9090  3 P 2.50-2.51
Ta 0.5000 0.0583 0.4090  3 P 2.50-2.51
P 0.0000 0.2917 0.6571  7 Ta 2.49-2.66
P 0.5000 0.7083 0.1571  7 Ta 2.49-2.66

=====

(2)
Here is Th3Al3Cu after structural relaxation from the Alexandria database. Energies are from PBE.

As for the final energy: -79.5 eV/cell. Its total moment is 0.00 μB/f.u. The density of states at the Fermi level comes out at 1.07 states/eV/atom. As for the symmetry: C2/m. For the theoretical density, the calculation gives 8.27 Mg/m³. The calculation puts the formation energy at -0.313 eV/atom.

Lattice parameters (Å, degrees): 4.4872 5.9356 13.8797 84.72 80.70 67.79
Closest atoms and distances in Å follow each position.
Sites, in units of the cell vectors:
Th 0.5305 0.3206 0.6184  7 Al 3.13-3.38, 4 Cu 3.20-3.31
Th 0.4695 0.6794 0.3816  7 Al 3.13-3.38, 4 Cu 3.20-3.31
Th 0.2477 0.2795 0.2252  6 Al 3.16-3.23, 2 Cu 3.38
Th 0.7523 0.7205 0.7748  6 Al 3.16-3.23, 2 Cu 3.38
Th 0.4003 0.2829 0.9165  7 Al 3.15-3.25
Th 0.5997 0.7171 0.0835  7 Al 3.15-3.25
Al 0.8581 0.7425 0.5413  3 Cu 2.56-2.73
Al 0.1419 0.2575 0.4587  3 Cu 2.56-2.73
Al 0.1096 0.8549 0.9259  2 Al 2.62-2.68
Al 0.8904 0.1451 0.0741  2 Al 2.62-2.68
Al 0.9484 0.8649 0.2383  1 Cu 2.56, 1 Al 2.68
Al 0.0516 0.1351 0.7617  1 Cu 2.56, 1 Al 2.68
Cu 0.7527 0.0978 0.3968  4 Al 2.56-2.73
Cu 0.2473 0.9022 0.6032  4 Al 2.56-2.73

=====

(3)
Here is Cs2PdCl4F2 after structural relaxation from the Alexandria database. Energies are from PBE.

As for the final energy: -31.4 eV/cell. Its total moment is 0.00 μB/f.u. As for the symmetry: I4/mmm. The value obtained for the uncorrected formation energy is -1.4868 eV per atom. For the theoretical density, the calculation gives 3.47 Mg/m³.

Lattice parameters (Å, degrees): 7.3059 7.3059 7.3059 85.53 122.61 122.61
Closest atoms and distances in Å follow each position.
Sites, in units of the cell vectors:
Cs 0.5000 0.7500 0.2500  4 F 3.58, 8 Cl 3.66
Cs 0.5000 0.2500 0.7500  4 F 3.58, 8 Cl 3.66
Pd 0.0000 0.0000 0.0000  2 F 1.98
Cl 0.0000 0.7639 0.2361  1 Pd 2.34
Cl 0.5277 0.7639 0.7639  1 Pd 2.34
Cl 0.0000 0.2361 0.7639  1 Pd 2.34
Cl 0.4723 0.2361 0.2361  1 Pd 2.34
F 0.0000 0.8154 0.8154  1 Pd 1.98
F 0.0000 0.1846 0.1846  1 Pd 1.98

=====

Number 3 is which compound? Cs2PdCl4F2